HfAl2Pd2 | GGA-PBEsol | optimized geometry

Lattice parameters (Å, degrees): 7.493 7.493 2.778 90.00 90.00 90.00
Space group P4/mbm (No. 127)
Inequivalent atoms, fractional coordinates:
Hf 0.000 0.000 0.000 [2 per cell]
Al 0.129 0.371 0.000 [4 per cell]
Pd 0.167 0.667 0.500 [4 per cell]

Values from the calculation:
ΔE_f (eV per atom): -0.668
Energy (eV per formula unit): -33.94
Total magnetization (μB/atom): 0.00
ΔE to the lowest computed polymorph (eV per atom): 0.034
Volume (Å³ per atom): 15.597
Crystal system: tetragonal

***

HfAl2Pd2 | GGA-PBEsol | optimized geometry

Lattice parameters (Å, degrees): 7.448 7.448 2.839 90.00 90.00 90.00
Space group P4/mbm (No. 127)
Inequivalent atoms, fractional coordinates:
Hf 0.000 0.000 0.000 [2 per cell]
Al 0.160 0.340 0.500 [4 per cell]
Pd 0.135 0.635 0.000 [4 per cell]

Values from the calculation:
ΔE_f (eV per atom): -0.702
Energy (eV per formula unit): -34.12
Total magnetization (μB/atom): 0.00
ΔE to the lowest computed polymorph (eV per atom): 0.000
Volume (Å³ per atom): 15.749
Crystal system: tetragonal